(1)
CsCu2Ir4 | PBE | relaxed

Cell and atoms, written as POSCAR:
```
CsCu2Ir4
1.0
-2.478 2.478 6.264
2.478 -2.478 6.264
2.478 2.478 -6.264
Cs Cu Ir
1 2 4
Direct
0.000 0.000 0.000
0.408 0.408 0.000
0.592 0.592 0.000
0.000 0.500 0.500
0.221 0.221 0.000
0.500 0.000 0.500
0.779 0.779 0.000
```

## Properties
Calculated volume   21.983 Å³ per atom
Total magnetization   2.2 μB/cell
E   -3.81 eV per atom
ΔH_f (0 K)   2.547 eV/atom


(2)
CsCuIr3 | PBE | relaxed

Cell and atoms, written as POSCAR:
```
CsCuIr3
1.0
4.733 0.000 0.000
0.000 4.733 0.000
0.000 0.000 4.733
Cs Cu Ir
1 1 3
Direct
0.000 0.000 0.000
0.500 0.500 0.500
0.000 0.500 0.500
0.500 0.000 0.500
0.500 0.500 0.000
```

## Properties
Calculated volume   21.201 Å³ per atom
Polymorph energy (0 for the lowest one)   0 meV/atom
Total magnetization   0.0 μB/cell
E   -4.59 eV per atom
ΔH_f (0 K)   1.718 eV/atom